1.
An optimized crystal structure of BeZnCdPd. Source: the Alexandria database, functional PBE-GGA.

a = 4.000 Å, b = 4.000 Å, c = 13.814 Å
α = 90.00°, β = 90.00°, γ = 120.00°
Fractional coordinates of all 12 atoms:
Be1 0.000 0.000 0.410
Be2 0.333 0.667 0.077
Be3 0.667 0.333 0.743
Zn1 0.000 0.000 0.035
Zn2 0.333 0.667 0.702
Zn3 0.667 0.333 0.368
Pd1 0.000 0.000 0.793
Pd2 0.333 0.667 0.460
Pd3 0.667 0.333 0.127
Cd1 0.000 0.000 0.587
Cd2 0.333 0.667 0.254
Cd3 0.667 0.333 0.921

Energy relative to the lowest polymorph listed for this composition ... 102 meV/atom
Formation enthalpy at 0 K ... -0.11 eV/atom
Fermi-level density of states ... 0.40 states/eV/atom
Space-group type ... No. 160
Total energy ... -34.64 eV/cell

2.
An optimized crystal structure of BeZnCdPd. Source: the Alexandria database, functional PBE-GGA.

a = 3.120 Å, b = 4.282 Å, c = 8.773 Å
α = 90.00°, β = 90.00°, γ = 90.00°
Fractional coordinates of all 8 atoms:
Be1 0.000 0.500 0.501
Be2 0.500 0.000 0.001
Zn1 0.000 0.000 0.243
Zn2 0.500 0.500 0.743
Pd1 0.000 0.000 0.803
Pd2 0.500 0.500 0.303
Cd1 0.000 0.500 0.026
Cd2 0.500 0.000 0.526

Energy relative to the lowest polymorph listed for this composition ... 54 meV/atom
Formation enthalpy at 0 K ... -0.16 eV/atom
Fermi-level density of states ... 0.32 states/eV/atom
Space-group type ... No. 44
Total energy ... -23.48 eV/cell

3.
An optimized crystal structure of BeZnCdPd. Source: the Alexandria database, functional PBE-GGA.

a = 4.953 Å, b = 4.066 Å, c = 7.000 Å
α = 90.00°, β = 118.35°, γ = 90.00°
Fractional coordinates of all 8 atoms:
Be1 0.328 0.000 0.475
Be2 0.328 0.500 0.975
Zn1 0.059 0.000 0.052
Zn2 0.059 0.500 0.552
Pd1 0.363 0.000 0.819
Pd2 0.363 0.500 0.319
Cd1 0.727 0.000 0.275
Cd2 0.727 0.500 0.775

Energy relative to the lowest polymorph listed for this composition ... 90 meV/atom
Formation enthalpy at 0 K ... -0.12 eV/atom
Fermi-level density of states ... 0.22 states/eV/atom
Space-group type ... No. 8
Total energy ... -23.18 eV/cell

4.
An optimized crystal structure of BeZnCdPd. Source: the Alexandria database, functional PBE-GGA.

a = 2.988 Å, b = 2.988 Å, c = 6.623 Å
α = 90.00°, β = 90.00°, γ = 90.00°
Fractional coordinates of all 4 atoms:
Be1 0.000 0.000 0.614
Zn1 0.500 0.500 0.384
Pd1 0.500 0.500 0.776
Cd1 0.000 0.000 0.081

Energy relative to the lowest polymorph listed for this composition ... 0 meV/atom
Formation enthalpy at 0 K ... -0.21 eV/atom
Fermi-level density of states ... 0.38 states/eV/atom
Space-group type ... No. 99
Total energy ... -11.95 eV/cell